Computed, not measured: Sc2GaO after structural relaxation at the GGA-PBE level of DFT.

a b c (Å): 4.5481 4.5481 4.5481
angles (deg): 60.00 60.00 60.00
With the nearest neighbours (Å) after each atom.
Element x y z (fractional)
Sc  0.7500  0.7500  0.7500  4 Ga 2.79, 4 O 2.79
Sc  0.2500  0.2500  0.2500  4 Ga 2.79, 4 O 2.79
Ga  0.5000  0.5000  0.5000  8 Sc 2.79
O  0.0000  0.0000  0.0000  8 Sc 2.79

Results
The offset from the most stable computed form comes out at 900 meV/atom. The space group is Fm-3m. The raw formation energy is -0.65 eV per atom. For the magnetic moment, the calculation gives 0.00 μB per formula unit. For the calculated density, the calculation gives 4.38 Mg/m³.